[1]
A relaxed structure of K2SnCl4. Source: the Alexandria database, functional PBE.

The structure in POSCAR format:
```
K2SnCl4
1.0
4.372 0.000 0.000
0.000 7.354 -2.680
0.000 0.233 7.824
K Sn Cl
2 1 4
Direct
0.500 0.000 0.500
0.500 0.500 0.000
0.000 0.000 0.000
0.000 0.775 0.225
0.500 0.791 0.791
0.500 0.209 0.209
0.000 0.225 0.775
```

- size of the total moment (μB per formula unit) = 0.000
- E_form (uncorrected) (eV/atom) = -1.5651
- E_tot (eV/atom) = -3.506
- relative energy among the computed polymorphs (eV per atom) = 0.000
- calculated density (g cm⁻³) = 2.21
- N(E_F) (states/eV/cell) = 0.00
- calculated volume (Å³ per cell) = 254.3


[2]
A relaxed structure of K2Sn2Cl5. Source: the Alexandria database, functional PBE.

The structure in POSCAR format:
```
K2Sn2Cl5
1.0
7.521 0.000 0.000
0.000 7.177 0.000
-3.761 -3.588 10.924
K Sn Cl
4 4 10
Direct
0.084 0.712 0.288
0.916 0.424 0.712
0.704 0.212 0.288
0.296 0.924 0.712
0.000 0.013 0.000
0.500 0.513 0.000
0.426 0.236 0.500
0.574 0.736 0.500
0.247 0.734 0.901
0.753 0.833 0.099
0.154 0.234 0.901
0.846 0.333 0.099
0.268 0.081 0.242
0.732 0.838 0.758
0.475 0.581 0.242
0.525 0.338 0.758
0.149 0.467 0.500
0.851 0.967 0.500
```

- size of the total moment (μB per formula unit) = 0.000
- E_form (uncorrected) (eV/atom) = -1.2712
- E_tot (eV/atom) = -3.431
- calculated density (g cm⁻³) = 2.78
- calculated volume (Å³ per cell) = 589.6


[3]
A relaxed structure of K2Sn5Cl12. Source: the Alexandria database, functional PBE.

The structure in POSCAR format:
```
K2Sn5Cl12
1.0
-3.918 5.284 -5.885
6.456 -5.760 -2.851
-8.321 -4.996 1.054
K Sn Cl
2 5 12
Direct
0.768 0.000 0.000
0.232 0.000 0.000
0.343 0.687 0.619
0.260 0.520 0.018
0.000 0.000 0.500
0.740 0.480 0.982
0.657 0.313 0.381
0.911 0.822 0.161
0.095 0.594 0.851
0.499 0.594 0.851
0.108 0.764 0.527
0.656 0.764 0.527
0.508 0.015 0.800
0.492 0.985 0.200
0.892 0.236 0.473
0.344 0.236 0.473
0.905 0.406 0.149
0.501 0.406 0.149
0.089 0.178 0.839
```

- size of the total moment (μB per formula unit) = 0.000
- E_form (uncorrected) (eV/atom) = -1.1798
- E_tot (eV/atom) = -3.515
- relative energy among the computed polymorphs (eV per atom) = 0.000
- calculated density (g cm⁻³) = 2.84
- N(E_F) (states/eV/cell) = 0.00
- calculated volume (Å³ per cell) = 640.8


[4]
A relaxed structure of KSnCl3. Source: the Alexandria database, functional PBE.

The structure in POSCAR format:
```
KSnCl3
1.0
4.374 0.000 0.000
0.000 8.479 0.000
0.000 0.000 16.126
K Sn Cl
4 4 12
Direct
0.250 0.911 0.345
0.750 0.089 0.655
0.750 0.589 0.845
0.250 0.411 0.155
0.250 0.628 0.570
0.750 0.372 0.430
0.750 0.872 0.070
0.250 0.128 0.930
0.750 0.185 0.307
0.250 0.688 0.997
0.250 0.026 0.149
0.250 0.526 0.351
0.250 0.188 0.503
0.750 0.474 0.649
0.250 0.315 0.807
0.750 0.974 0.851
0.750 0.312 0.003
0.750 0.685 0.193
0.750 0.812 0.497
0.250 0.815 0.693
```

- size of the total moment (μB per formula unit) = 0.000
- E_form (uncorrected) (eV/atom) = -1.3975
- E_tot (eV/atom) = -3.526
- calculated density (g cm⁻³) = 2.93
- N(E_F) (states/eV/cell) = 0.00
- calculated volume (Å³ per cell) = 598.0


[5]
A relaxed structure of KSnCl3. Source: the Alexandria database, functional PBE.

The structure in POSCAR format:
```
KSnCl3
1.0
5.510 0.000 0.000
0.000 5.510 0.000
0.000 0.000 5.510
K Sn Cl
1 1 3
Direct
0.000 0.000 0.000
0.500 0.500 0.500
0.000 0.500 0.000
0.000 0.000 0.500
0.500 0.000 0.000
```

- size of the total moment (μB per formula unit) = 0.000
- E_form (uncorrected) (eV/atom) = -0.6451
- E_tot (eV/atom) = -2.773
- calculated density (g cm⁻³) = 2.62
- N(E_F) (states/eV/cell) = 0.00
- calculated volume (Å³ per cell) = 167.3


[6]
A relaxed structure of KSn3Cl12. Source: the Alexandria database, functional PBE.

The structure in POSCAR format:
```
KSn3Cl12
1.0
8.645 0.000 0.000
0.000 11.189 -6.460
0.000 0.000 12.920
K Sn Cl
2 6 24
Direct
0.750 0.667 0.333
0.250 0.333 0.667
0.250 0.904 0.621
0.250 0.717 0.096
0.250 0.379 0.283
0.750 0.621 0.717
0.750 0.283 0.904
0.750 0.096 0.379
0.250 0.006 0.831
0.750 0.969 0.464
0.472 0.778 0.551
0.028 0.778 0.551
0.750 0.536 0.505
0.028 0.773 0.222
0.472 0.773 0.222
0.250 0.826 0.994
0.472 0.449 0.227
0.028 0.449 0.227
0.750 0.831 0.826
0.250 0.505 0.969
0.750 0.495 0.031
0.250 0.169 0.174
0.972 0.551 0.773
0.528 0.551 0.773
0.750 0.174 0.006
0.528 0.227 0.778
0.972 0.227 0.778
0.250 0.464 0.495
0.528 0.222 0.449
0.972 0.222 0.449
0.250 0.031 0.536
0.750 0.994 0.169
```

- size of the total moment (μB per formula unit) = 0.000
- E_form (uncorrected) (eV/atom) = -0.9999
- E_tot (eV/atom) = -3.204
- calculated density (g cm⁻³) = 2.18
- N(E_F) (states/eV/cell) = 16.25
- calculated volume (Å³ per cell) = 1249.7


[7]
A relaxed structure of K12Sn3Cl5. Source: the Alexandria database, functional PBE.

The structure in POSCAR format:
```
K12Sn3Cl5
1.0
-16.748 -1.563 2.079
7.662 -14.296 4.917
5.669 12.951 9.348
Sn Cl K
12 20 48
Direct
0.750 0.375 0.125
0.875 0.750 0.125
0.375 0.750 0.625
0.250 0.125 0.375
0.875 0.125 0.250
0.375 0.625 0.250
0.625 0.375 0.750
0.125 0.875 0.750
0.750 0.875 0.625
0.625 0.250 0.375
0.125 0.250 0.875
0.250 0.625 0.875
0.125 0.375 0.250
0.000 0.500 0.000
0.000 0.000 0.000
0.375 0.250 0.125
0.500 0.000 0.500
0.500 0.500 0.000
0.125 0.750 0.375
0.750 0.125 0.875
0.750 0.625 0.375
0.375 0.125 0.750
0.625 0.875 0.250
0.500 0.500 0.500
0.500 0.000 0.000
0.000 0.000 0.500
0.250 0.375 0.625
0.250 0.875 0.125
0.000 0.500 0.500
0.875 0.250 0.625
0.625 0.750 0.875
0.875 0.625 0.750
0.714 0.129 0.039
0.326 0.539 0.411
0.961 0.371 0.286
0.539 0.214 0.129
0.585 0.714 0.674
0.961 0.589 0.174
0.326 0.786 0.415
0.089 0.915 0.129
0.589 0.961 0.674
0.714 0.585 0.174
0.786 0.461 0.371
0.826 0.911 0.039
0.129 0.714 0.539
0.371 0.411 0.085
0.085 0.911 0.371
0.415 0.129 0.589
0.085 0.174 0.214
0.461 0.674 0.089
0.826 0.915 0.286
0.129 0.415 0.089
0.371 0.961 0.786
0.589 0.629 0.415
0.911 0.826 0.539
0.786 0.326 0.915
0.411 0.371 0.585
0.089 0.174 0.461
0.214 0.674 0.085
0.174 0.085 0.714
0.629 0.039 0.214
0.871 0.585 0.911
0.539 0.326 0.911
0.585 0.871 0.411
0.915 0.826 0.786
0.915 0.089 0.629
0.871 0.286 0.461
0.174 0.089 0.961
0.629 0.589 0.915
0.411 0.039 0.326
0.286 0.415 0.826
0.214 0.539 0.629
0.911 0.085 0.871
0.674 0.214 0.585
0.461 0.786 0.871
0.039 0.411 0.826
0.415 0.286 0.326
0.039 0.629 0.714
0.674 0.461 0.589
0.286 0.871 0.961
```

- size of the total moment (μB per formula unit) = 5.075
- E_form (uncorrected) (eV/atom) = -0.9017
- E_tot (eV/atom) = -2.622
- calculated density (g cm⁻³) = 1.78
- N(E_F) (states/eV/cell) = 46.65
- calculated volume (Å³ per cell) = 3747.8


[8]
A relaxed structure of K3Sn5Cl12. Source: the Alexandria database, functional PBE.

The structure in POSCAR format:
```
K3Sn5Cl12
1.0
15.471 0.000 0.000
-5.157 14.586 0.000
-5.157 -7.293 12.632
K Sn Cl
12 20 48
Direct
0.750 0.375 0.125
0.875 0.750 0.125
0.375 0.750 0.625
0.250 0.125 0.375
0.875 0.125 0.250
0.375 0.625 0.250
0.625 0.375 0.750
0.125 0.875 0.750
0.750 0.875 0.625
0.625 0.250 0.375
0.125 0.250 0.875
0.250 0.625 0.875
0.125 0.375 0.250
0.000 0.500 0.000
0.000 0.000 0.000
0.375 0.250 0.125
0.500 0.000 0.500
0.500 0.500 0.000
0.125 0.750 0.375
0.750 0.125 0.875
0.750 0.625 0.375
0.375 0.125 0.750
0.625 0.875 0.250
0.500 0.500 0.500
0.500 0.000 0.000
0.000 0.000 0.500
0.250 0.375 0.625
0.250 0.875 0.125
0.000 0.500 0.500
0.875 0.250 0.625
0.625 0.750 0.875
0.875 0.625 0.750
0.707 0.124 0.035
0.328 0.535 0.411
0.965 0.376 0.293
0.535 0.207 0.124
0.583 0.707 0.672
0.965 0.589 0.172
0.328 0.793 0.417
0.089 0.917 0.124
0.589 0.965 0.672
0.707 0.583 0.172
0.793 0.465 0.376
0.828 0.911 0.035
0.124 0.707 0.535
0.376 0.411 0.083
0.083 0.911 0.376
0.417 0.124 0.589
0.083 0.172 0.207
0.465 0.672 0.089
0.828 0.917 0.293
0.124 0.417 0.089
0.376 0.965 0.793
0.589 0.624 0.417
0.911 0.828 0.535
0.793 0.328 0.917
0.411 0.376 0.583
0.089 0.172 0.465
0.207 0.672 0.083
0.172 0.083 0.707
0.624 0.035 0.207
0.876 0.583 0.911
0.535 0.328 0.911
0.583 0.876 0.411
0.917 0.828 0.793
0.917 0.089 0.624
0.876 0.293 0.465
0.172 0.089 0.965
0.624 0.589 0.917
0.411 0.035 0.328
0.293 0.417 0.828
0.207 0.535 0.624
0.911 0.083 0.876
0.672 0.207 0.583
0.465 0.793 0.876
0.035 0.411 0.828
0.417 0.293 0.328
0.035 0.624 0.707
0.672 0.465 0.589
0.293 0.876 0.965
```

- size of the total moment (μB per formula unit) = 0.015
- E_form (uncorrected) (eV/atom) = -1.1495
- E_tot (eV/atom) = -3.423
- calculated density (g cm⁻³) = 2.65
- N(E_F) (states/eV/cell) = 33.51
- calculated volume (Å³ per cell) = 2850.7


[9]
A relaxed structure of KSn2Cl8. Source: the Alexandria database, functional PBE.

The structure in POSCAR format:
```
KSn2Cl8
1.0
-4.143 -6.571 0.765
-0.188 -0.790 -7.806
5.851 -3.209 4.129
K Sn Cl
1 2 8
Direct
0.000 0.000 0.000
0.208 0.333 0.667
0.792 0.667 0.333
0.098 0.667 0.333
0.902 0.333 0.667
0.699 0.836 0.165
0.301 0.165 0.329
0.301 0.671 0.836
0.301 0.164 0.835
0.699 0.835 0.671
0.699 0.329 0.164
```

- size of the total moment (μB per formula unit) = 0.000
- E_form (uncorrected) (eV/atom) = -1.0517
- E_tot (eV/atom) = -3.222
- relative energy among the computed polymorphs (eV per atom) = 0.000
- calculated density (g cm⁻³) = 2.23
- N(E_F) (states/eV/cell) = 4.80
- calculated volume (Å³ per cell) = 416.3


[10]
A relaxed structure of K2Sn5Cl12. Source: the Alexandria database, functional PBE.

The structure in POSCAR format:
```
K2Sn5Cl12
1.0
9.681 0.000 0.000
0.000 12.027 0.759
0.000 6.580 12.180
K Sn Cl
4 10 24
Direct
0.500 0.621 0.350
0.000 0.323 0.000
0.000 0.777 0.137
0.500 0.025 0.006
0.000 0.428 0.524
0.500 0.372 0.122
0.500 0.157 0.543
0.000 0.162 0.421
0.224 0.896 0.367
0.776 0.896 0.367
0.283 0.707 0.873
0.717 0.707 0.873
0.289 0.420 0.741
0.711 0.420 0.741
0.282 0.847 0.210
0.718 0.847 0.210
0.786 0.482 0.061
0.214 0.482 0.061
0.199 0.204 0.899
0.801 0.204 0.899
0.287 0.429 0.536
0.713 0.429 0.536
0.307 0.153 0.412
0.693 0.153 0.412
0.000 0.064 0.234
0.500 0.138 0.169
0.190 0.860 0.924
0.810 0.860 0.924
0.000 0.912 0.544
0.500 0.912 0.688
0.000 0.728 0.409
0.500 0.781 0.462
0.000 0.475 0.322
0.500 0.695 0.997
0.000 0.503 0.730
0.500 0.459 0.906
0.000 0.164 0.606
0.500 0.261 0.760
```

- size of the total moment (μB per formula unit) = 0.000
- E_form (uncorrected) (eV/atom) = -1.1650
- E_tot (eV/atom) = -3.500
- relative energy among the computed polymorphs (eV per atom) = 0.015
- calculated density (g cm⁻³) = 2.66
- N(E_F) (states/eV/cell) = 0.00
- calculated volume (Å³ per cell) = 1369.7


[11]
A relaxed structure of K2SnCl3. Source: the Alexandria database, functional PBE.

The structure in POSCAR format:
```
K2SnCl3
1.0
6.371 0.000 0.000
0.000 9.661 -0.006
-3.186 -2.423 6.214
K Sn Cl
4 2 6
Direct
0.670 0.585 0.340
0.670 0.085 0.340
0.330 0.915 0.660
0.330 0.415 0.660
0.001 0.750 0.000
0.999 0.250 0.000
0.497 0.250 0.000
0.503 0.750 0.000
0.152 0.075 0.303
0.849 0.425 0.697
0.151 0.575 0.303
0.848 0.925 0.697
```

- size of the total moment (μB per formula unit) = 0.816
- E_form (uncorrected) (eV/atom) = -1.3094
- E_tot (eV/atom) = -3.266
- calculated density (g cm⁻³) = 2.63
- N(E_F) (states/eV/cell) = 1.93
- calculated volume (Å³ per cell) = 382.4


[12]
A relaxed structure of K6Sn3Cl14. Source: the Alexandria database, functional PBE.

The structure in POSCAR format:
```
K6Sn3Cl14
1.0
7.667 0.000 0.000
0.000 9.318 -5.380
0.000 0.000 10.760
K Sn Cl
6 3 14
Direct
0.241 0.841 0.129
0.241 0.871 0.712
0.241 0.288 0.159
0.832 0.530 0.526
0.832 0.474 0.004
0.832 0.996 0.470
0.794 0.000 0.000
0.376 0.333 0.667
0.440 0.667 0.333
0.969 0.113 0.250
0.969 0.750 0.862
0.969 0.138 0.887
0.503 0.225 0.439
0.503 0.561 0.786
0.503 0.214 0.775
0.415 0.000 0.000
0.072 0.333 0.667
0.646 0.771 0.193
0.646 0.807 0.577
0.646 0.423 0.229
0.225 0.543 0.476
0.225 0.524 0.068
0.225 0.932 0.457
```

- size of the total moment (μB per formula unit) = 0.000
- E_form (uncorrected) (eV/atom) = -1.4539
- E_tot (eV/atom) = -3.386
- calculated density (g cm⁻³) = 2.35
- calculated volume (Å³ per cell) = 768.8